[1]
Below is a geometry-optimized Ba6AuSe2I3 structure, with properties calculated at the PBE level.

Structure (POSCAR):
```
Ba6AuSe2I3
1.0
4.191 -7.256 0.000
4.191 7.256 0.000
-2.781 0.000 8.273
Ba Au Se I
6 1 2 3
Direct
0.070 0.402 0.212
0.261 0.261 0.787
0.402 0.070 0.212
0.598 0.930 0.788
0.739 0.739 0.213
0.930 0.598 0.788
0.000 0.000 0.000
0.334 0.666 0.000
0.666 0.334 0.000
0.169 0.831 0.500
0.500 0.500 0.500
0.831 0.169 0.500
```

Summary:
As for the raw formation energy: -142 kJ per mole of atoms. The value obtained for the spin magnetization is 2.93 μB per cell. The density of states at the Fermi level is 5.8 states/eV/cell. The calculated total energy is -3.670 eV per atom.

***

[2]
Below is a geometry-optimized La6DyIn structure, with properties calculated at the PBE level.

Structure (POSCAR):
```
La6DyIn
1.0
5.121 0.000 0.000
0.000 5.121 0.000
0.000 0.000 10.378
La Dy In
6 1 1
Direct
0.000 0.000 0.000
0.000 0.000 0.500
0.000 0.500 0.245
0.000 0.500 0.755
0.500 0.000 0.245
0.500 0.000 0.755
0.500 0.500 0.500
0.500 0.500 0.000
```

Summary:
The value obtained for the spin magnetization is 0.00 μB per cell. The density of states at the Fermi level is 10.3 states/eV/cell. The calculated total energy is -4.745 eV per atom. The offset from the most stable computed form is 0.0000 eV per atom. The formation energy is -102 kJ/mol of formula units.